First-principles (PBE with a Hubbard U) data for an optimized crystal structure of CrInTe2O8, as listed in the Alexandria database.

Cell and atoms, written as extended XYZ:
```
12
Lattice="-3.517 3.517 3.411 3.517 -3.517 3.411 3.517 3.517 -3.411" Properties=species:S:1:pos:R:3 pbc="T T T"
Cr 0.000 0.000 0.000
In 3.517 0.000 1.705
Te 0.000 0.000 3.411
Te 0.000 3.517 1.705
O 2.156 3.517 -1.295
O 1.361 0.000 2.116
O 0.000 2.150 0.365
O 3.517 2.156 1.295
O 0.000 4.884 0.365
O 0.000 1.361 4.705
O -1.367 3.517 3.046
O 1.367 3.517 3.046
```

Calculated values
Volume in A^3/atom: 14.066
Calculated total energy in eV per atom: -5.6266
Crystal system: tetragonal